i.
Below is Cu3TcBr after structural relaxation, with properties calculated at the PBE-GGA level.

Cell lengths 4.763, 4.763, 4.763 Å; angles 90.00, 90.00, 90.00 degrees
Space group Pm-3m (No. 221)
Unique sites:
Cu1 0.000 0.000 0.500 x3
Tc1 0.000 0.000 0.000 x1
Br1 0.500 0.500 0.500 x1

Summary:
mass density = 5.7 g cm⁻³
magnetization = 1.79 μB per cell
DOS(E_F) = 0.7857 states/eV per atom
crystal system = cubic


ii.
Below is Cu3TcBr after structural relaxation, with properties calculated at the PBE-GGA level.

Cell lengths 4.577, 4.577, 4.577 Å; angles 90.00, 90.00, 90.00 degrees
Space group Pm-3m (No. 221)
Unique sites:
Cu1 0.000 0.000 0.500 x3
Tc1 0.500 0.500 0.500 x1
Br1 0.000 0.000 0.000 x1

Summary:
mass density = 6.4 g cm⁻³
magnetization = 3.14 μB per cell
DOS(E_F) = 1.2212 states/eV per atom
crystal system = cubic


Ranking the structures above from most stable to least stable yields i, ii.